SrTmTl after structural relaxation, computed with GGA-PBE.

```
SrTmTl
1.0
-1.935 1.935 6.849
1.935 -1.935 6.849
1.935 1.935 -6.849
Sr Tm Tl
1 1 1
direct
0.000 0.000 0.000
0.285 0.285 0.000
0.668 0.668 0.000
```

spin magnetization = 0.003 μB per formula unit
formation energy from the elements = -0.4 eV per formula unit
volume = 34.20 A^3/atom
SG = I4mm, No. 107
E = -8.95 eV/cell

***

SrTm3Tl4 after structural relaxation, computed with GGA-PBE.

```
SrTm3Tl4
1.0
10.903 0.000 0.000
0.000 7.601 0.000
0.000 0.000 5.451
Sr Tm Tl
2 6 8
direct
0.000 0.000 0.000
0.500 0.000 0.000
0.000 0.500 0.000
0.250 0.000 0.499
0.250 0.500 0.499
0.500 0.500 0.000
0.750 0.000 0.501
0.750 0.500 0.501
0.000 0.262 0.500
0.000 0.738 0.500
0.250 0.261 0.998
0.250 0.739 0.998
0.500 0.262 0.500
0.500 0.738 0.500
0.750 0.261 0.002
0.750 0.739 0.002
```

spin magnetization = 0.000 μB per formula unit
formation energy from the elements = -2.3 eV per formula unit
volume = 28.23 A^3/atom
SG = Pmma, No. 51
E = -53.77 eV/cell

***

SrTmTl after structural relaxation, computed with GGA-PBE.

```
SrTmTl
1.0
5.088 0.000 0.000
0.000 5.088 0.000
0.000 0.000 8.063
Sr Tm Tl
2 2 2
direct
0.250 0.250 0.143
0.750 0.750 0.857
0.250 0.750 0.500
0.750 0.250 0.500
0.250 0.250 0.725
0.750 0.750 0.275
```

spin magnetization = 0.000 μB per formula unit
formation energy from the elements = -0.8 eV per formula unit
volume = 34.79 A^3/atom
SG = P4/nmm, No. 129
E = -18.65 eV/cell

***

SrTm4Tl4 after structural relaxation, computed with GGA-PBE.

```
SrTm4Tl4
1.0
7.572 0.000 0.000
0.000 7.572 0.000
0.000 0.000 10.172
Sr Tm Tl
2 8 8
direct
0.250 0.750 0.250
0.750 0.250 0.750
0.005 0.250 0.143
0.250 0.005 0.643
0.250 0.495 0.643
0.495 0.250 0.143
0.505 0.750 0.857
0.750 0.505 0.357
0.750 0.995 0.357
0.995 0.750 0.857
0.043 0.250 0.449
0.250 0.043 0.949
0.250 0.457 0.949
0.457 0.250 0.449
0.543 0.750 0.551
0.750 0.543 0.051
0.750 0.957 0.051
0.957 0.750 0.551
```

spin magnetization = 0.000 μB per formula unit
formation energy from the elements = -1.4 eV per formula unit
volume = 32.40 A^3/atom
SG = P4_2/nmc, No. 137
E = -60.78 eV/cell

***

Sr4TmTl5 after structural relaxation, computed with GGA-PBE.

```
Sr4TmTl5
1.0
3.996 0.000 0.000
0.000 3.996 0.000
0.000 0.000 20.414
Sr Tm Tl
4 1 5
direct
0.000 0.000 0.103
0.000 0.000 0.309
0.000 0.000 0.691
0.000 0.000 0.897
0.000 0.000 0.500
0.500 0.500 0.000
0.500 0.500 0.205
0.500 0.500 0.415
0.500 0.500 0.585
0.500 0.500 0.795
```

spin magnetization = 0.000 μB per formula unit
formation energy from the elements = -3.9 eV per formula unit
volume = 32.59 A^3/atom
SG = P4/mmm, No. 123
E = -26.95 eV/cell

***

Sr2TmTl5 after structural relaxation, computed with GGA-PBE.

```
Sr2TmTl5
1.0
-2.831 2.831 7.708
2.831 -2.831 7.708
2.831 2.831 -7.708
Sr Tm Tl
2 1 5
direct
0.244 0.244 0.000
0.756 0.756 0.000
0.500 0.500 0.000
0.000 0.000 0.000
0.110 0.610 0.500
0.390 0.890 0.500
0.610 0.110 0.500
0.890 0.390 0.500
```

spin magnetization = 0.000 μB per formula unit
formation energy from the elements = -2.2 eV per formula unit
volume = 30.89 A^3/atom
SG = I4/mmm, No. 139
E = -21.89 eV/cell

***

SrTm2Tl2 after structural relaxation, computed with GGA-PBE.

```
SrTm2Tl2
1.0
3.636 -8.427 0.000
3.636 8.427 0.000
-3.614 0.000 5.980
Sr Tm Tl
2 4 4
direct
0.125 0.875 0.750
0.875 0.125 0.250
0.268 0.732 0.250
0.481 0.519 0.250
0.519 0.481 0.750
0.732 0.268 0.750
0.162 0.412 0.825
0.412 0.162 0.325
0.588 0.838 0.675
0.838 0.588 0.175
```

spin magnetization = 0.000 μB per formula unit
formation energy from the elements = 0.0 eV per formula unit
volume = 36.65 A^3/atom
SG = C2/c, No. 15
E = -30.74 eV/cell

***

SrTm2Tl after structural relaxation, computed with GGA-PBE.

```
SrTm2Tl
1.0
1.830 1.056 11.894
-1.830 1.056 11.894
0.000 -2.113 11.894
Sr Tm Tl
1 2 1
direct
0.000 0.000 0.000
0.099 0.099 0.099
0.901 0.901 0.901
0.500 0.500 0.500
```

spin magnetization = 0.000 μB per formula unit
formation energy from the elements = 0.6 eV per formula unit
volume = 34.49 A^3/atom
excess energy over the best structure of this formula in the dataset = 0.172 eV per atom
SG = R-3m, No. 166
E = -12.36 eV/cell